Record 1
VASP calculation (GGA-PBE) on an optimized crystal structure of Cr2CoTcN.

Properties
Its energy relative to the elements, uncorrected is -81.5 meV per atom. As for the density of states at the Fermi level: 5.721 states/eV/f.u. For the volume, the calculation gives 10.90 Å³ per atom. The space group is No. 123.

abc: 3.827 3.827 3.722
angles: 90.00 90.00 90.00
Fractional coordinates of all 5 atoms:
Cr 0.000 0.500 0.000
Cr 0.500 0.000 0.000
Co 0.000 0.000 0.500
Tc 0.500 0.500 0.500
N 0.000 0.000 0.000


Record 2
VASP calculation (GGA-PBE) on an optimized crystal structure of Na2AsPS4.

Properties
Its energy relative to the elements, uncorrected is -461.8 meV per atom. For the volume, the calculation gives 22.22 Å³ per atom. The space group is No. 82.

abc: 7.290 7.290 6.689
angles: 90.00 90.00 90.00
Fractional coordinates of all 16 atoms:
Na 0.000 0.000 0.000
Na 0.000 0.500 0.250
Na 0.500 0.000 0.750
Na 0.500 0.500 0.500
As 0.000 0.000 0.500
As 0.500 0.500 0.000
P 0.000 0.500 0.750
P 0.500 0.000 0.250
S 0.153 0.326 0.568
S 0.174 0.653 0.932
S 0.326 0.847 0.432
S 0.347 0.174 0.068
S 0.653 0.826 0.068
S 0.674 0.153 0.432
S 0.826 0.347 0.932
S 0.847 0.674 0.568


Record 3
VASP calculation (GGA-PBE) on an optimized crystal structure of CuAg4.

Properties
As for the density of states at the Fermi level: 1.892 states/eV/f.u. The energy above the most stable polymorph in this dataset is 0.5327 eV per atom. The energy of formation comes out at 0.61 eV/atom. For the volume, the calculation gives 21.96 Å³ per atom. The space group is No. 221.

abc: 4.788 4.788 4.788
angles: 90.00 90.00 90.00
Fractional coordinates of all 5 atoms:
Cu 0.000 0.000 0.000
Ag 0.000 0.000 0.500
Ag 0.000 0.500 0.000
Ag 0.500 0.000 0.000
Ag 0.500 0.500 0.500


Record 4
VASP calculation (GGA-PBE) on an optimized crystal structure of LiDy2Au.

Properties
As for the density of states at the Fermi level: 3.889 states/eV/f.u. The energy of formation comes out at -0.19 eV/atom. For the volume, the calculation gives 28.46 Å³ per atom. The space group is No. 160.

abc: 3.858 3.858 26.491
angles: 90.00 90.00 120.00
Fractional coordinates of all 12 atoms:
Li 0.000 0.000 0.000
Li 0.333 0.667 0.667
Li 0.667 0.333 0.333
Dy 0.000 0.000 0.570
Dy 0.000 0.000 0.762
Dy 0.333 0.667 0.237
Dy 0.333 0.667 0.428
Dy 0.667 0.333 0.095
Dy 0.667 0.333 0.903
Au 0.000 0.000 0.165
Au 0.333 0.667 0.832
Au 0.667 0.333 0.498


Record 5
VASP calculation (GGA-PBE) on an optimized crystal structure of PaInC.

Properties
As for the density of states at the Fermi level: 2.393 states/eV/f.u. The energy above the most stable polymorph in this dataset is 0.3346 eV per atom. The energy of formation comes out at 0.16 eV/atom. For the volume, the calculation gives 21.59 Å³ per atom. The space group is No. 107.

abc: 3.279 3.279 12.049
angles: 90.00 90.00 90.00
Fractional coordinates of all 6 atoms:
Pa 0.000 0.000 0.000
Pa 0.500 0.500 0.500
In 0.000 0.000 0.277
In 0.500 0.500 0.777
C 0.000 0.000 0.542
C 0.500 0.500 0.042


Record 6
VASP calculation (GGA-PBE) on an optimized crystal structure of AcEu2Pu.

Properties
As for the density of states at the Fermi level: 12.816 states/eV/f.u. The energy of formation comes out at 0.34 eV/atom. For the volume, the calculation gives 39.06 Å³ per atom. The space group is No. 166.

abc: 3.682 3.682 39.928
angles: 90.00 90.00 120.00
Fractional coordinates of all 12 atoms:
Ac 0.000 0.000 0.000
Ac 0.333 0.667 0.667
Ac 0.667 0.333 0.333
Eu 0.000 0.000 0.416
Eu 0.000 0.000 0.584
Eu 0.333 0.667 0.082
Eu 0.333 0.667 0.251
Eu 0.667 0.333 0.749
Eu 0.667 0.333 0.918
Pu 0.000 0.000 0.500
Pu 0.333 0.667 0.167
Pu 0.667 0.333 0.833


Number 1: total magnetic moment 0.02 μB/cell. Number 2: total magnetic moment 0.00 μB/cell. Number 3: total magnetic moment 0.00 μB/cell. Number 4: total magnetic moment 0.77 μB/cell. Number 5: total magnetic moment 0.00 μB/cell. Number 6: total magnetic moment 25.43 μB/cell.